(1)
This record from the Alexandria database describes TlCo2Au at its PBEsol-relaxed geometry. The functional is SCAN.

## Properties
The density comes out at 14.6 Mg/m³. Its space-group type is I-4m2 (119). The formation energy from the elements is 447.3 meV/atom.

```
TlCo2Au
1.0
3.849 0.000 0.000
0.000 3.849 0.000
-1.925 -1.925 3.987
Co Tl Au
2 1 1
Direct
0.000 0.000 0.000 Co
0.750 0.250 0.500 Co
0.500 0.500 0.000 Tl
0.250 0.750 0.500 Au
```



(2)
This record from the Alexandria database describes BeAl2Tc at its PBEsol-relaxed geometry. The functional is SCAN.

## Properties
The density comes out at 5.2 Mg/m³. Its space-group type is I4/mmm (139). The formation energy from the elements is -359.7 meV/atom.

```
BeAl2Tc
1.0
-1.642 -3.190 -0.552
2.813 -1.713 1.525
-2.311 2.734 3.013
Be Tc Al
1 1 2
Direct
0.500 0.500 0.000 Be
0.000 0.000 0.000 Tc
0.750 0.250 0.500 Al
0.250 0.750 0.500 Al
```



Which of these has the highest formation energy from the elements?
TlCo2Au



What is the density in the second record?
5.2 Mg/m³